[1]
! PmCrWO6 (PBE+U, relaxed); values from VASP
&SYSTEM
  ibrav = 0, nat = 18, ntyp = 4
/
ATOMIC_SPECIES
Pm 145.00 Pm.upf
Cr 52.00 Cr.upf
W 183.84 W.upf
O 16.00 O.upf
CELL_PARAMETERS angstrom
5.216 0.000 0.000
-2.608 4.517 0.000
0.000 0.000 10.133
ATOMIC_POSITIONS crystal
Pm 0.000 0.000 0.000
Pm 0.000 0.000 0.500
Cr 0.333 0.667 0.250
Cr 0.667 0.333 0.750
W 0.333 0.667 0.750
W 0.667 0.333 0.250
O 0.010 0.369 0.642
O 0.010 0.641 0.858
O 0.359 0.369 0.858
O 0.359 0.990 0.642
O 0.369 0.010 0.142
O 0.369 0.359 0.358
O 0.631 0.641 0.642
O 0.631 0.990 0.858
O 0.641 0.010 0.358
O 0.641 0.631 0.142
O 0.990 0.359 0.142
O 0.990 0.631 0.358
! Symmetry: P-31c
! Density of states at the Fermi level (states/eV/cell): 0.00
! Total DFT energy (no corrections) (eV per atom): -7.9386

***

[2]
! LiNi2OF3 (PBE+U, relaxed); values from VASP
&SYSTEM
  ibrav = 0, nat = 14, ntyp = 4
/
ATOMIC_SPECIES
Li 6.94 Li.upf
Ni 58.69 Ni.upf
O 16.00 O.upf
F 19.00 F.upf
CELL_PARAMETERS angstrom
5.952 0.000 0.000
-2.976 5.155 0.000
0.000 0.000 5.024
ATOMIC_POSITIONS crystal
Li 0.333 0.667 0.469
Li 0.667 0.333 0.531
Ni 0.000 0.000 0.500
Ni 0.000 0.500 0.000
Ni 0.500 0.000 0.000
Ni 0.500 0.500 0.000
O 0.333 0.667 0.831
O 0.667 0.333 0.169
F 0.168 0.337 0.274
F 0.168 0.832 0.274
F 0.337 0.168 0.726
F 0.663 0.832 0.274
F 0.832 0.168 0.726
F 0.832 0.663 0.726
! Symmetry: P-3m1
! Density of states at the Fermi level (states/eV/cell): 0.00
! Relative energy among the computed polymorphs (eV per formula unit): 0.26
! Total DFT energy (no corrections) (eV per atom): -4.5101

***

- Among the records above, which one has the highest total DFT energy (no corrections)?
  LiNi2OF3

***

Repeat the second record exactly.
! LiNi2OF3 (PBE+U, relaxed); values from VASP
&SYSTEM
  ibrav = 0, nat = 14, ntyp = 4
/
ATOMIC_SPECIES
Li 6.94 Li.upf
Ni 58.69 Ni.upf
O 16.00 O.upf
F 19.00 F.upf
CELL_PARAMETERS angstrom
5.952 0.000 0.000
-2.976 5.155 0.000
0.000 0.000 5.024
ATOMIC_POSITIONS crystal
Li 0.333 0.667 0.469
Li 0.667 0.333 0.531
Ni 0.000 0.000 0.500
Ni 0.000 0.500 0.000
Ni 0.500 0.000 0.000
Ni 0.500 0.500 0.000
O 0.333 0.667 0.831
O 0.667 0.333 0.169
F 0.168 0.337 0.274
F 0.168 0.832 0.274
F 0.337 0.168 0.726
F 0.663 0.832 0.274
F 0.832 0.168 0.726
F 0.832 0.663 0.726
! Symmetry: P-3m1
! Density of states at the Fermi level (states/eV/cell): 0.00
! Relative energy among the computed polymorphs (eV per formula unit): 0.26
! Total DFT energy (no corrections) (eV per atom): -4.5101

***

- Among the records above, which one has the highest total DFT energy (no corrections)?
  LiNi2OF3